1.
This record from the Alexandria database describes Sm2Pd3Pt after structural relaxation. The functional is PBE.

Properties
calculated density = 10.64 g/cm³
space-group type = Immm
DFT formation energy = -3.59 eV per formula unit
N(E_F) = 3.30 states/eV/cell

Geometry as POSCAR:
```
Sm2Pd3Pt
1.0
4.983 0.000 0.000
0.000 5.554 0.000
-2.491 -2.777 4.596
Sm Pd Pt
2 3 1
direct
0.307 0.807 0.614 Sm
0.693 0.193 0.386 Sm
0.356 0.356 0.712 Pd
0.644 0.644 0.288 Pd
0.000 0.000 0.000 Pd
0.000 0.500 0.000 Pt
```



2.
This record from the Alexandria database describes ZnAg2Pd6 after structural relaxation. The functional is PBE.

Properties
calculated density = 10.50 g/cm³
space-group type = C2/c
DFT formation energy = -0.41 eV per formula unit
N(E_F) = 11.18 states/eV/cell

Geometry as POSCAR:
```
ZnAg2Pd6
1.0
5.238 -0.219 0.638
0.985 7.407 -0.347
-0.297 -0.525 7.456
Pd Ag Zn
12 4 2
direct
0.501 0.308 0.728 Pd
0.999 0.272 0.692 Pd
0.713 0.235 0.045 Pd
0.775 0.572 0.949 Pd
0.225 0.428 0.051 Pd
0.275 0.949 0.572 Pd
0.499 0.692 0.272 Pd
0.213 0.045 0.235 Pd
0.287 0.765 0.955 Pd
0.725 0.051 0.428 Pd
0.787 0.955 0.765 Pd
0.001 0.728 0.308 Pd
0.889 0.384 0.354 Ag
0.111 0.616 0.646 Ag
0.389 0.354 0.384 Ag
0.611 0.646 0.616 Ag
0.750 0.906 0.094 Zn
0.250 0.094 0.906 Zn
```



3.
This record from the Alexandria database describes SrInGe2Se6 after structural relaxation. The functional is PBE.

Properties
calculated density = 4.38 g/cm³
space-group type = C2/c
energy relative to the elements, uncorrected = -55 kJ/mol of atoms
N(E_F) = 7.44 states/eV/cell

Geometry as POSCAR:
```
SrInGe2Se6
1.0
8.210 0.296 0.307
2.997 8.814 0.618
2.997 0.291 8.831
Ge Se Sr In
4 12 2 2
direct
0.816 0.639 0.758 Ge
0.184 0.361 0.242 Ge
0.316 0.758 0.639 Ge
0.684 0.242 0.361 Ge
0.147 0.944 0.837 Se
0.647 0.837 0.944 Se
0.853 0.056 0.163 Se
0.433 0.432 0.286 Se
0.067 0.714 0.568 Se
0.081 0.608 0.101 Se
0.933 0.286 0.432 Se
0.919 0.392 0.899 Se
0.567 0.568 0.714 Se
0.581 0.101 0.608 Se
0.353 0.163 0.056 Se
0.419 0.899 0.392 Se
0.250 0.831 0.169 Sr
0.750 0.169 0.831 Sr
0.750 0.804 0.196 In
0.250 0.196 0.804 In
```